The following is a DFT calculation (PBE+U) of a geometry-optimized Tl2CrBiF6 structure.

Structure (POSCAR):
```
Tl2CrBiF6
1.0
5.7680 0.0000 0.4578
0.0000 5.6845 0.0000
0.4123 0.0000 11.7431
F Cr Tl Bi
12 2 4 2
Direct
0.6976 0.2670 0.9416
0.5618 0.8605 0.8497
0.0618 0.6395 0.3497
0.2303 0.1619 0.9471
0.1976 0.2330 0.4416
0.4382 0.1395 0.1503
0.7697 0.8381 0.0529
0.7303 0.3381 0.4471
0.8024 0.7670 0.5584
0.2697 0.6619 0.5529
0.9382 0.3605 0.6503
0.3024 0.7330 0.0584
0.5000 0.0000 0.0000
0.0000 0.5000 0.5000
0.9779 0.1107 0.2358
0.0221 0.8893 0.7642
0.5221 0.6107 0.2642
0.4779 0.3893 0.7358
0.5000 0.0000 0.5000
0.0000 0.5000 0.0000
```

Summary:
For the density of states at the Fermi level, the calculation gives 0.3 states/eV per cell. Its total DFT energy (no corrections) is -4.807 eV per atom.